Entry 1:
Entry from Alexandria via LeMat-Bulk: TeSeCl after structural relaxation (GGA-PBE).

```
6
Lattice="4.335 0.000 0.000 -0.849 7.091 0.000 -2.118 -2.213 6.906" Properties=species:S:1:pos:R:3 pbc="T T T"
Te 0.000 0.000 0.000
Te 0.970 5.435 1.486
Se -0.415 -0.716 5.431
Se 0.785 0.554 2.391
Cl 2.440 3.175 0.023
Cl 2.272 4.414 4.016
```

Values from the calculation:
- mass density (kg/m3) = 3786

=====

Entry 2:
Entry from Alexandria via LeMat-Bulk: Cs2TiSiMo after structural relaxation (GGA-PBE).

```
5
Lattice="6.935 0.000 0.000 0.000 6.935 0.000 0.000 0.000 4.449" Properties=species:S:1:pos:R:3 pbc="T T T"
Cs 0.000 3.467 0.000
Cs 3.467 0.000 0.000
Ti 0.000 0.000 0.000
Si 3.467 3.467 2.225
Mo 0.000 0.000 2.225
```

Values from the calculation:
- D(E_F) (states/eV/atom) = 1.20
- mass density (kg/m3) = 3397

=====

Entry 3:
Entry from Alexandria via LeMat-Bulk: Cd3PI3 after structural relaxation (GGA-PBE).

```
14
Lattice="9.295 0.000 0.000 -4.648 8.050 0.000 0.000 0.000 7.452" Properties=species:S:1:pos:R:3 pbc="T T T"
Cd 0.000 2.946 1.863
Cd -2.097 6.577 1.863
Cd 2.551 1.473 5.589
Cd 2.097 6.577 1.863
Cd 6.745 1.473 5.589
Cd 4.648 5.105 5.589
P 0.000 5.367 1.863
P 4.648 2.683 5.589
I 0.000 2.764 5.589
I -2.254 6.668 5.589
I 2.394 1.382 1.863
I 2.254 6.668 5.589
I 6.901 1.382 1.863
I 4.648 5.286 1.863
```

Values from the calculation:
- D(E_F) (states/eV/atom) = 0.27
- mass density (kg/m3) = 4461

=====

E_form (uncorrected)
In order: -2.73; 38.62; -5.18
Unit: kcal/mol of atoms
Total magnetization
In order: 0.00; 2.85; 0.00
Unit: μB/cell
Uncorrected energy
In order: -17.7; -17.5; -28.8
Unit: eV for the cell shown